(1)
A geometry-optimized SiTcRhCl structure. Source: the Alexandria database, functional PBE-GGA.

Cell lengths 7.1917, 7.1917, 3.0754 Å; angles 92.54, 92.54, 23.48 degrees
With the nearest neighbours (Å) after each atom.
Atoms (fractional coordinates):
Si 0.0000 0.0000 0.0000  4 Rh 2.49, 4 Tc 2.55
Tc 0.3994 0.3994 0.4795  2 Cl 2.39, 4 Si 2.55
Rh 0.5926 0.5926 0.5186  1 Cl 2.47, 4 Si 2.49, 1 Tc 2.72
Cl 0.7656 0.7656 0.4202  2 Tc 2.39, 1 Rh 2.47

## Properties
calculated volume	15.83	Å³ per atom
D(E_F)	3.362	states/eV/f.u.

(2)
A geometry-optimized SiTcRhCl structure. Source: the Alexandria database, functional PBE-GGA.

Cell lengths 3.4433, 3.0565, 6.6506 Å; angles 90.00, 93.57, 90.00 degrees
With the nearest neighbours (Å) after each atom.
Atoms (fractional coordinates):
Si 0.0000 0.0000 0.0000  2 Rh 2.29-2.33, 4 Tc 2.44-2.46
Tc 0.4872 0.5000 0.8736  1 Cl 2.36, 4 Si 2.44-2.46
Rh 0.5216 0.0000 0.2318  2 Si 2.29-2.33, 2 Cl 2.51
Cl 0.3907 0.5000 0.5192  1 Tc 2.36, 2 Rh 2.51

## Properties
calculated volume	17.46	Å³ per atom
D(E_F)	3.623	states/eV/f.u.

(3)
A geometry-optimized SiTcRhCl structure. Source: the Alexandria database, functional PBE-GGA.

Cell lengths 3.0034, 3.3626, 7.3804 Å; angles 86.31, 78.27, 64.08 degrees
With the nearest neighbours (Å) after each atom.
Atoms (fractional coordinates):
Si 0.0000 0.0000 0.0000  3 Rh 2.32-2.35, 3 Tc 2.40-2.47
Tc 0.5782 0.6200 0.2144  3 Si 2.40-2.47, 2 Cl 2.44
Rh 0.7892 0.6024 0.8090  3 Si 2.32-2.35, 1 Cl 2.41
Cl 0.9027 0.7075 0.4790  1 Rh 2.41, 2 Tc 2.44

## Properties
calculated volume	16.40	Å³ per atom
D(E_F)	2.626	states/eV/f.u.

Result of the stability comparison: (2) is the least stable of them.

(1)
A geometry-optimized SiTcRhCl structure. Source: the Alexandria database, functional PBE-GGA.

Cell lengths 2.9522, 2.9522, 7.4796 Å; angles 90.00, 90.00, 90.00 degrees
With the nearest neighbours (Å) after each atom.
Atoms (fractional coordinates):
Si 0.0000 0.0000 0.0000  4 Rh 2.48, 4 Tc 2.53
Tc 0.5000 0.5000 0.1907  1 Cl 2.30, 4 Si 2.53
Rh 0.5000 0.5000 0.8214  1 Cl 2.42, 4 Si 2.48
Cl 0.5000 0.5000 0.4982  1 Tc 2.30, 1 Rh 2.42

## Properties
calculated volume	16.30	Å³ per atom
D(E_F)	3.979	states/eV/f.u.

(2)
A geometry-optimized SiTcRhCl structure. Source: the Alexandria database, functional PBE-GGA.

Cell lengths 4.2118, 4.2118, 5.8398 Å; angles 107.35, 107.35, 40.54 degrees
With the nearest neighbours (Å) after each atom.
Atoms (fractional coordinates):
Si 0.0000 0.0000 0.0000  3 Rh 2.38-2.48, 2 Tc 2.49
Tc 0.6776 0.6776 0.3357  3 Cl 2.29-2.38, 2 Si 2.49
Rh 0.6834 0.6834 0.8289  3 Si 2.38-2.48, 1 Cl 2.46
Cl 0.4280 0.4280 0.4555  3 Tc 2.29-2.38, 1 Rh 2.46

## Properties
calculated volume	15.96	Å³ per atom
D(E_F)	3.288	states/eV/f.u.

(3)
A geometry-optimized SiTcRhCl structure. Source: the Alexandria database, functional PBE-GGA.

Cell lengths 3.7495, 3.7495, 6.9034 Å; angles 94.60, 94.60, 45.85 degrees
With the nearest neighbours (Å) after each atom.
Atoms (fractional coordinates):
Si 0.0000 0.0000 0.0000  3 Rh 2.31-2.39, 3 Tc 2.36-2.48
Tc 0.7343 0.7343 0.1940  3 Si 2.36-2.48, 2 Cl 2.41
Rh 0.2718 0.2718 0.8266  3 Si 2.31-2.39, 1 Cl 2.44
Cl 0.2404 0.2404 0.4725  2 Tc 2.41, 1 Rh 2.44

## Properties
calculated volume	17.34	Å³ per atom
D(E_F)	2.690	states/eV/f.u.

(4)
A geometry-optimized SiTcRhCl structure. Source: the Alexandria database, functional PBE-GGA.

Cell lengths 2.8733, 2.8733, 8.7164 Å; angles 99.26, 99.26, 60.01 degrees
With the nearest neighbours (Å) after each atom.
Atoms (fractional coordinates):
Si 0.0000 0.0000 0.0000  3 Rh 2.42-2.43, 3 Tc 2.57-2.58
Tc 0.5903 0.5903 0.7698  1 Cl 2.29
Rh 0.4015 0.4015 0.2067  3 Si 2.42-2.43, 1 Cl 2.53
Cl 0.5029 0.5029 0.5024  1 Tc 2.29, 1 Rh 2.53

## Properties
calculated volume	15.31	Å³ per atom
D(E_F)	4.467	states/eV/f.u.

Result of the stability comparison: (2) is the least stable of them.

(1)
A geometry-optimized SiTcRhCl structure. Source: the Alexandria database, functional PBE-GGA.

Cell lengths 4.3384, 4.3384, 6.3415 Å; angles 122.31, 122.31, 39.63 degrees
With the nearest neighbours (Å) after each atom.
Atoms (fractional coordinates):
Si 0.0000 0.0000 0.0000  3 Rh 2.44-2.48, 2 Tc 2.49
Tc 0.5614 0.5614 0.3548  3 Cl 2.30-2.40, 2 Si 2.49
Rh 0.2127 0.2127 0.8356  1 Cl 2.42, 3 Si 2.44-2.48
Cl 0.8780 0.8780 0.4478  3 Tc 2.30-2.40, 1 Rh 2.42

## Properties
calculated volume	15.66	Å³ per atom
D(E_F)	2.958	states/eV/f.u.

(2)
A geometry-optimized SiTcRhCl structure. Source: the Alexandria database, functional PBE-GGA.

Cell lengths 8.2251, 8.2251, 8.2251 Å; angles 20.62, 20.62, 20.62 degrees
With the nearest neighbours (Å) after each atom.
Atoms (fractional coordinates):
Si 0.0000 0.0000 0.0000  3 Rh 2.42, 3 Tc 2.53
Tc 0.2556 0.2556 0.2556  3 Cl 2.49, 3 Si 2.53
Rh 0.7383 0.7383 0.7383  3 Si 2.42, 1 Cl 2.62
Cl 0.8467 0.8467 0.8467  3 Tc 2.49, 1 Rh 2.62

## Properties
calculated volume	15.10	Å³ per atom
D(E_F)	1.596	states/eV/f.u.

(3)
A geometry-optimized SiTcRhCl structure. Source: the Alexandria database, functional PBE-GGA.

Cell lengths 2.9458, 6.7017, 6.7017 Å; angles 29.93, 90.00, 90.00 degrees
With the nearest neighbours (Å) after each atom.
Atoms (fractional coordinates):
Si 0.0000 0.0000 0.0000  2 Rh 2.29, 4 Tc 2.48
Tc 0.5000 0.4226 0.4226  2 Cl 2.44, 4 Si 2.48
Rh 0.0000 0.6162 0.6162  2 Si 2.29
Cl 0.0000 0.2728 0.2728  2 Tc 2.44, 2 Rh 2.67

## Properties
calculated volume	16.50	Å³ per atom
D(E_F)	3.717	states/eV/f.u.

Result of the stability comparison: (1) is the least stable of them.

(1)
A geometry-optimized SiTcRhCl structure. Source: the Alexandria database, functional PBE-GGA.

Cell lengths 8.1735, 8.1735, 8.1735 Å; angles 20.65, 20.65, 20.65 degrees
With the nearest neighbours (Å) after each atom.
Atoms (fractional coordinates):
Si 0.0000 0.0000 0.0000  3 Rh 2.42, 3 Tc 2.55
Tc 0.7462 0.7462 0.7462  3 Cl 2.51, 3 Si 2.55
Rh 0.2612 0.2612 0.2612  3 Si 2.42
Cl 0.4904 0.4904 0.4904  3 Tc 2.51

## Properties
calculated volume	14.86	Å³ per atom
D(E_F)	3.345	states/eV/f.u.

(2)
A geometry-optimized SiTcRhCl structure. Source: the Alexandria database, functional PBE-GGA.

Cell lengths 3.1856, 3.1856, 7.6145 Å; angles 90.96, 90.96, 57.33 degrees
With the nearest neighbours (Å) after each atom.
Atoms (fractional coordinates):
Si 0.0000 0.0000 0.0000  3 Rh 2.35-2.36, 3 Tc 2.40-2.42
Tc 0.6778 0.6778 0.2076  1 Cl 2.34, 3 Si 2.40-2.42
Rh 0.6719 0.6719 0.8032  3 Si 2.35-2.36, 1 Cl 2.37
Cl 0.5603 0.5603 0.5015  1 Tc 2.34, 1 Rh 2.37

## Properties
calculated volume	16.26	Å³ per atom
D(E_F)	3.226	states/eV/f.u.

Result of the stability comparison: (1) is the least stable of them.

(1)
A geometry-optimized Sm2RhCl structure. Source: the Alexandria database, functional PBE-GGA.

Cell lengths 7.9974, 7.9974, 7.9974 Å; angles 29.13, 29.13, 29.13 degrees
With the nearest neighbours (Å) after each atom.
Atoms (fractional coordinates):
Sm 0.0000 0.0000 0.0000  3 Rh 2.79
Sm 0.1996 0.1996 0.1996  3 Rh 2.78
Rh 0.5995 0.5995 0.5995  6 Sm 2.78-2.79
Cl 0.4284 0.4284 0.4284  6 Sm 3.19-3.34

## Properties
calculated volume	26.80	Å³ per atom
D(E_F)	0.554	states/eV/f.u.

(2)
A geometry-optimized Sm2RhCl structure. Source: the Alexandria database, functional PBE-GGA.

Cell lengths 7.8701, 7.8701, 7.8701 Å; angles 29.72, 29.72, 29.72 degrees
With the nearest neighbours (Å) after each atom.
Atoms (fractional coordinates):
Sm 0.2346 0.2346 0.2346  3 Rh 2.79
Sm 0.7654 0.7654 0.7654  3 Rh 2.79
Rh 0.5000 0.5000 0.5000  6 Sm 2.79
Cl 0.0000 0.0000 0.0000  6 Sm 3.22

## Properties
calculated volume	26.51	Å³ per atom
D(E_F)	0.849	states/eV/f.u.

Result of the stability comparison: (1) is the least stable of them.

(1)
A geometry-optimized SnRh3Cl structure. Source: the Alexandria database, functional PBE-GGA.

Cell lengths 4.9697, 4.9697, 4.9697 Å; angles 90.00, 90.00, 90.00 degrees
With the nearest neighbours (Å) after each atom.
Atoms (fractional coordinates):
Sn 0.0000 0.0000 0.0000  6 Rh 2.48
Rh 0.0000 0.0000 0.5000  2 Sn 2.48
Rh 0.0000 0.5000 0.0000  2 Sn 2.48
Rh 0.5000 0.0000 0.0000  2 Sn 2.48
Cl 0.5000 0.5000 0.5000  12 Rh 3.51

## Properties
calculated volume	24.55	Å³ per atom
D(E_F)	7.295	states/eV/f.u.

(2)
A geometry-optimized SnRh3Cl structure. Source: the Alexandria database, functional PBE-GGA.

Cell lengths 4.4800, 4.4800, 4.4800 Å; angles 90.00, 90.00, 90.00 degrees
With the nearest neighbours (Å) after each atom.
Atoms (fractional coordinates):
Sn 0.0000 0.0000 0.0000  12 Rh 3.17
Rh 0.0000 0.5000 0.5000  2 Cl 2.24
Rh 0.5000 0.0000 0.5000  2 Cl 2.24
Rh 0.5000 0.5000 0.0000  2 Cl 2.24
Cl 0.5000 0.5000 0.5000  6 Rh 2.24

## Properties
calculated volume	17.98	Å³ per atom
D(E_F)	11.267	states/eV/f.u.

Result of the stability comparison: (1) is the least stable of them.

(1)
A geometry-optimized SrRhCl3 structure. Source: the Alexandria database, functional PBE-GGA.

Cell lengths 4.8954, 4.8954, 4.8954 Å; angles 90.00, 90.00, 90.00 degrees
With the nearest neighbours (Å) after each atom.
Atoms (fractional coordinates):
Sr 0.0000 0.0000 0.0000  12 Cl 3.46
Rh 0.5000 0.5000 0.5000  6 Cl 2.45
Cl 0.0000 0.5000 0.5000  2 Rh 2.45
Cl 0.5000 0.0000 0.5000  2 Rh 2.45
Cl 0.5000 0.5000 0.0000  2 Rh 2.45

## Properties
calculated volume	23.46	Å³ per atom
D(E_F)	1.345	states/eV/f.u.

(2)
A geometry-optimized SrRhCl3 structure. Source: the Alexandria database, functional PBE-GGA.

Cell lengths 5.5919, 5.5919, 5.5919 Å; angles 90.00, 90.00, 90.00 degrees
With the nearest neighbours (Å) after each atom.
Atoms (fractional coordinates):
Sr 0.0000 0.0000 0.0000  6 Cl 2.80
Rh 0.5000 0.5000 0.5000  12 Cl 3.95
Cl 0.0000 0.0000 0.5000  2 Sr 2.80
Cl 0.0000 0.5000 0.0000  2 Sr 2.80
Cl 0.5000 0.0000 0.0000  2 Sr 2.80

## Properties
calculated volume	34.97	Å³ per atom
D(E_F)	14.026	states/eV/f.u.

Result of the stability comparison: (2) is the least stable of them.

(1)
A geometry-optimized SrRh2Cl structure. Source: the Alexandria database, functional PBE-GGA.

Cell lengths 5.5207, 5.5207, 3.1935 Å; angles 90.00, 90.00, 121.82 degrees
With the nearest neighbours (Å) after each atom.
Atoms (fractional coordinates):
Sr 0.0000 0.0000 0.0000  2 Cl 2.68
Rh 0.0000 0.5000 0.5000  2 Rh 2.68
Rh 0.5000 0.0000 0.5000  2 Rh 2.68
Cl 0.5000 0.5000 0.0000  2 Sr 2.68

## Properties
calculated volume	20.68	Å³ per atom
D(E_F)	4.025	states/eV/f.u.

(2)
A geometry-optimized SrRh2Cl structure. Source: the Alexandria database, functional PBE-GGA.

Cell lengths 8.6187, 8.6187, 8.6187 Å; angles 22.16, 22.16, 22.16 degrees
With the nearest neighbours (Å) after each atom.
Atoms (fractional coordinates):
Sr 0.0000 0.0000 0.0000  6 Rh 3.05, 6 Sr 3.31
Rh 0.2389 0.2389 0.2389  3 Cl 2.64
Rh 0.7611 0.7611 0.7611  3 Cl 2.64
Cl 0.5000 0.5000 0.5000  6 Rh 2.64

## Properties
calculated volume	19.96	Å³ per atom
D(E_F)	4.559	states/eV/f.u.

(3)
A geometry-optimized SrRh2Cl structure. Source: the Alexandria database, functional PBE-GGA.

Cell lengths 4.8318, 4.8318, 4.8318 Å; angles 120.18, 120.18, 89.69 degrees
With the nearest neighbours (Å) after each atom.
Atoms (fractional coordinates):
Sr 0.0000 0.0000 0.0000  4 Cl 2.96, 4 Rh 2.96
Rh 0.5000 0.5000 0.0000  4 Cl 2.96, 4 Rh 2.96
Rh 0.7500 0.2500 0.5000  4 Rh 2.96, 4 Sr 2.96
Cl 0.2500 0.7500 0.5000  4 Rh 2.96, 4 Sr 2.96

## Properties
calculated volume	19.89	Å³ per atom
D(E_F)	4.277	states/eV/f.u.

(4)
A geometry-optimized SrRh2Cl structure. Source: the Alexandria database, functional PBE-GGA.

Cell lengths 7.3709, 7.3709, 7.3709 Å; angles 32.24, 32.24, 32.24 degrees
With the nearest neighbours (Å) after each atom.
Atoms (fractional coordinates):
Sr 0.0000 0.0000 0.0000  3 Cl 2.90, 3 Rh 3.15
Rh 0.4619 0.4619 0.4619  3 Rh 2.44
Rh 0.7661 0.7661 0.7661  3 Rh 2.44
Cl 0.2527 0.2527 0.2527  3 Sr 2.90

## Properties
calculated volume	25.32	Å³ per atom
D(E_F)	4.227	states/eV/f.u.

Result of the stability comparison: (2) is the least stable of them.

(1)
A geometry-optimized SrRh2Cl structure. Source: the Alexandria database, functional PBE-GGA.

Cell lengths 5.3592, 5.3592, 5.3592 Å; angles 138.23, 117.39, 78.12 degrees
With the nearest neighbours (Å) after each atom.
Atoms (fractional coordinates):
Sr 0.0000 0.0000 0.0000  4 Cl 3.09-3.28, 8 Rh 3.12-3.38
Rh 0.3308 0.8308 0.5000  2 Rh 2.47
Rh 0.5192 0.5192 0.0000  2 Rh 2.47, 2 Cl 2.48
Cl 0.7085 0.2085 0.5000  2 Rh 2.48

## Properties
calculated volume	22.14	Å³ per atom
D(E_F)	3.669	states/eV/f.u.

(2)
A geometry-optimized SrRh2Cl structure. Source: the Alexandria database, functional PBE-GGA.

Cell lengths 4.7842, 4.7842, 4.7842 Å; angles 60.00, 60.00, 60.00 degrees
With the nearest neighbours (Å) after each atom.
Atoms (fractional coordinates):
Sr 0.0000 0.0000 0.0000  8 Rh 2.93
Rh 0.2500 0.2500 0.2500  4 Cl 2.93, 4 Sr 2.93
Rh 0.7500 0.7500 0.7500  4 Sr 2.93, 4 Cl 2.93
Cl 0.5000 0.5000 0.5000  8 Rh 2.93

## Properties
calculated volume	19.36	Å³ per atom
D(E_F)	5.010	states/eV/f.u.

Result of the stability comparison: (2) is the least stable of them.

(1)
A geometry-optimized SrRh2Cl structure. Source: the Alexandria database, functional PBE-GGA.

Cell lengths 3.1895, 5.0089, 5.4400 Å; angles 90.00, 90.00, 90.00 degrees
With the nearest neighbours (Å) after each atom.
Atoms (fractional coordinates):
Sr 0.0000 0.0000 0.0000  2 Cl 2.72
Rh 0.5000 0.5000 0.2291  1 Rh 2.49
Rh 0.5000 0.5000 0.7709  1 Rh 2.49
Cl 0.0000 0.0000 0.5000  2 Sr 2.72

## Properties
calculated volume	21.73	Å³ per atom
D(E_F)	4.278	states/eV/f.u.

(2)
A geometry-optimized SrRh2Cl structure. Source: the Alexandria database, functional PBE-GGA.

Cell lengths 8.2880, 8.2880, 8.2880 Å; angles 143.93, 143.93, 51.94 degrees
With the nearest neighbours (Å) after each atom.
Atoms (fractional coordinates):
Sr 0.0000 0.0000 0.0000  8 Rh 3.25-3.60, 4 Cl 3.63
Sr 0.7500 0.2500 0.5000  8 Rh 3.25-3.60, 4 Cl 3.63
Rh 0.3301 0.1250 0.7051  2 Cl 2.27
Rh 0.3750 0.6699 0.7949  2 Cl 2.27
Rh 0.4199 0.6250 0.2949  2 Cl 2.27
Rh 0.8750 0.5801 0.2051  2 Cl 2.27
Cl 0.2500 0.7500 0.5000  4 Rh 2.27
Cl 0.5000 0.5000 0.0000  4 Rh 2.27

## Properties
calculated volume	24.53	Å³ per atom
D(E_F)	1.261	states/eV/f.u.

(3)
A geometry-optimized SrRh2Cl structure. Source: the Alexandria database, functional PBE-GGA.

Cell lengths 6.5492, 6.5492, 6.5492 Å; angles 145.98, 145.98, 48.87 degrees
With the nearest neighbours (Å) after each atom.
Atoms (fractional coordinates):
Sr 0.0000 0.0000 0.0000  4 Cl 2.71
Rh 0.2500 0.7500 0.5000  4 Rh 2.71
Rh 0.7500 0.2500 0.5000  4 Rh 2.71
Cl 0.5000 0.5000 0.0000  4 Sr 2.71

## Properties
calculated volume	21.88	Å³ per atom
D(E_F)	3.712	states/eV/f.u.

Result of the stability comparison: (1) is the least stable of them.